No. 1
This record from Alexandria via LeMat-Bulk describes a relaxed structure of NaMg30WO32. The functional is PBE with a Hubbard U.

Calculated values
total energy = -383.0 eV/cell
spin magnetization = 3.000 μB/cell

a = 8.5655 Å, b = 8.5655 Å, c = 8.5617 Å
α = 90.00°, β = 90.00°, γ = 90.00°
Space group P4/mmm (No. 123)
Inequivalent atoms, fractional coordinates:
Na 0.0000 0.0000 0.0000
Mg 0.0000 0.0000 0.5000
Mg 0.0000 0.2477 0.2494
Mg 0.0000 0.5000 0.0000
Mg 0.0000 0.5000 0.5000
Mg 0.2434 0.2434 0.0000
Mg 0.2448 0.5000 0.2537
Mg 0.2487 0.2487 0.5000
Mg 0.5000 0.5000 0.5000
W 0.5000 0.5000 0.0000
O 0.0000 0.0000 0.2631
O 0.0000 0.2528 0.5000
O 0.0000 0.2632 0.0000
O 0.0000 0.5000 0.2527
O 0.2476 0.5000 0.0000
O 0.2510 0.2510 0.2495
O 0.2511 0.5000 0.5000
O 0.5000 0.5000 0.2542

No. 2
This record from Alexandria via LeMat-Bulk describes a relaxed structure of Na3Mg2WO6. The functional is PBE with a Hubbard U.

Calculated values
total energy = -140.4 eV/cell
spin magnetization = 2.000 μB/cell

a = 5.3573 Å, b = 9.4229 Å, c = 5.7099 Å
α = 90.00°, β = 108.11°, γ = 90.00°
Space group C2/m (No. 12)
Inequivalent atoms, fractional coordinates:
Na 0.0000 0.0000 0.0000
Na 0.0000 0.3262 0.0000
Mg 0.0000 0.1703 0.5000
W 0.0000 0.5000 0.5000
O 0.2288 0.3395 0.7043
O 0.2455 0.5000 0.3022

No. 3
This record from Alexandria via LeMat-Bulk describes a relaxed structure of NaMgWO4. The functional is PBE with a Hubbard U.

Calculated values
total energy = -175.8 eV/cell
spin magnetization = 4.000 μB/cell

a = 6.3252 Å, b = 9.7815 Å, c = 6.7004 Å
α = 90.00°, β = 90.00°, γ = 90.00°
Space group Cmcm (No. 63)
Inequivalent atoms, fractional coordinates:
Na 0.0000 0.0000 0.0000
Mg 0.0000 0.3533 0.2500
W 0.0000 0.3500 0.7500
O 0.0000 0.2557 0.5083
O 0.2104 0.4925 0.7500

| no. | D(E_F) (states/eV per atom) |
| --- | --- |
| 1 | 0.00 |
| 2 | 0.00 |
| 3 | 0.00 |